Density functional theory data (GGA-PBE) for a relaxed NdSi3Os crystal.

a = 4.255 Å, b = 4.255 Å, c = 9.946 Å
α = 90.00°, β = 90.00°, γ = 90.00°
Space group I4mm (No. 107)
Unique sites:
Nd1 0.000 0.000 0.000 x2
Si1 0.000 0.000 0.419 x2
Si2 0.000 0.500 0.262 x4
Os1 0.000 0.000 0.655 x2

Results
Electronic total energy, eV per cell: -70.761